# 1
{"formula": "La5Pr4Al", "functional": "GGA-PBE", "state": "relaxed", "cell": [[3.5887, 0.0000, -0.8358], [-1.3106, 9.4091, -5.6270], [0.8137, -1.8866, 11.6154]], "species": ["Pr", "Pr", "Pr", "Pr", "Al", "La", "La", "La", "La", "La"], "fractional_positions": [[0.0086, 0.2386, 0.0172], [0.9914, 0.7614, 0.9828], [0.6641, 0.9430, 0.3281], [0.3359, 0.0570, 0.6719], [0.5000, 0.0000, 0.0000], [0.8272, 0.3469, 0.6543], [0.5000, 0.5000, 0.0000], [0.1728, 0.6531, 0.3457], [0.8460, 0.7616, 0.6919], [0.1540, 0.2384, 0.3081]], "formation_enthalpy_0k_ev_per_atom": 0.034, "n_ef_per_ev_cell": 15.12, "sg": "C2/m", "rho_g_cm3": 6.0, "relative_energy_mev_per_atom": 90, "dft_energy_ev_per_atom": -4.716}

***

# 2
{"formula": "TbPrSm5Y2", "functional": "GGA-PBE", "state": "relaxed", "cell": [[5.7122, 0.0000, 0.0000], [-2.8561, 10.1295, 0.0000], [0.0000, 0.0000, 10.6385]], "species": ["Tb", "Tb", "Pr", "Pr", "Sm", "Sm", "Sm", "Sm", "Sm", "Sm", "Sm", "Sm", "Sm", "Sm", "Y", "Y", "Y", "Y"], "fractional_positions": [[0.2008, 0.4017, 0.0111], [0.7992, 0.5983, 0.5111], [0.5858, 0.1717, 0.9525], [0.4142, 0.8283, 0.4525], [0.7026, 0.4052, 0.2068], [0.7189, 0.4379, 0.8122], [0.0181, 0.0361, 0.0233], [0.4788, 0.9575, 0.7399], [0.2811, 0.5621, 0.3122], [0.2974, 0.5948, 0.7068], [0.3895, 0.7789, 0.0239], [0.9819, 0.9639, 0.5233], [0.6105, 0.2211, 0.5239], [0.5212, 0.0425, 0.2399], [0.1159, 0.2317, 0.3216], [0.8873, 0.7746, 0.2327], [0.1127, 0.2254, 0.7327], [0.8841, 0.7683, 0.8216]], "formation_enthalpy_0k_ev_per_atom": 0.148, "n_ef_per_ev_cell": 29.31, "sg": "Cmc2_1", "rho_g_cm3": 6.6, "dft_energy_ev_per_atom": -4.956}

***

# 3
{"formula": "RbNpP2Se8", "functional": "GGA-PBE", "state": "relaxed", "cell": [[6.4846, 0.0000, 0.0000], [3.2423, 5.6158, 0.0000], [3.2423, 1.8719, 10.2656]], "species": ["Se", "Se", "Se", "Se", "Se", "Se", "Se", "Se", "P", "P", "Rb", "Np"], "fractional_positions": [[0.6007, 0.3050, 0.1570], [0.9373, 0.6007, 0.1570], [0.1877, 0.1877, 0.4369], [0.0627, 0.3993, 0.8430], [0.3050, 0.9373, 0.1570], [0.6950, 0.0627, 0.8430], [0.8123, 0.8123, 0.5631], [0.3993, 0.6950, 0.8430], [0.2573, 0.2573, 0.2282], [0.7427, 0.7427, 0.7718], [0.5000, 0.5000, 0.5000], [0.0000, 0.0000, 0.0000]], "n_ef_per_ev_cell": 10.89, "sg": "R-3", "raw_formation_energy_ev_per_atom": -0.40, "rho_g_cm3": 4.5, "dft_energy_ev_per_atom": -4.780}

***

# 4
{"formula": "LiAuS2", "functional": "GGA-PBE", "state": "relaxed", "cell": [[4.1222, 5.3009, 3.3478], [5.3742, 1.9894, 4.8436], [6.6586, 3.1564, 1.4144]], "species": ["Au", "Li", "S", "S"], "fractional_positions": [[0.5000, 0.5000, 0.5000], [0.0000, 0.0000, 0.0000], [0.8927, 0.8927, 0.8927], [0.1073, 0.1073, 0.1073]], "n_ef_per_ev_cell": 4.00, "sg": "R-3m", "raw_formation_energy_ev_per_atom": -0.10, "rho_g_cm3": 4.9, "dft_energy_ev_per_atom": -3.457}

***

# 5
{"formula": "Cd2InRh", "functional": "GGA-PBE", "state": "relaxed", "cell": [[-4.8618, -3.4252, 3.4589], [-4.6858, -4.9618, 0.8701], [1.8989, -3.4593, 2.1824]], "species": ["Cd", "Cd", "Rh", "In"], "fractional_positions": [[0.5607, 0.5607, 0.4391], [0.9393, 0.9393, 0.0609], [0.2500, 0.2500, 0.2500], [0.7500, 0.7500, 0.7500]], "formation_enthalpy_0k_ev_per_atom": -0.195, "n_ef_per_ev_cell": 1.06, "sg": "Immm", "rho_g_cm3": 8.5, "dft_energy_ev_per_atom": -3.175}

***

# 6
{"formula": "HoTmIn2Se4", "functional": "GGA-PBE", "state": "relaxed", "cell": [[-1.8673, 2.9598, -2.1674], [-6.3070, -3.0873, 1.2177], [1.2852, 5.2406, 6.0495]], "species": ["Ho", "Se", "Se", "Se", "Se", "In", "In", "Tm"], "fractional_positions": [[0.5000, 0.5000, 0.0000], [0.0000, 0.7373, 0.2067], [0.5000, 0.7668, 0.7943], [0.0000, 0.2627, 0.7933], [0.5000, 0.2332, 0.2057], [0.5000, 0.0000, 0.5000], [0.0000, 0.5000, 0.5000], [0.0000, 0.0000, 0.0000]], "sg": "P2/m", "raw_formation_energy_ev_per_atom": -1.29, "rho_g_cm3": 6.4, "dft_energy_ev_per_atom": -4.851}

***

# 7
{"formula": "ZnCr", "functional": "GGA-PBE", "state": "relaxed", "cell": [[2.5374, 0.0000, -0.0203], [0.0000, 4.1112, 0.0000], [0.5900, 0.0000, 4.8886]], "species": ["Zn", "Zn", "Cr", "Cr"], "fractional_positions": [[0.6653, 0.5000, 0.7576], [0.5847, 0.0000, 0.4924], [0.2090, 0.5000, 0.2370], [0.0410, 0.0000, 0.0130]], "formation_enthalpy_0k_ev_per_atom": 0.164, "n_ef_per_ev_cell": 1.88, "sg": "P2_1/m", "rho_g_cm3": 7.6, "dft_energy_ev_per_atom": -5.285}

***

# 8
{"formula": "Hf3TiSe", "functional": "GGA-PBE", "state": "relaxed", "cell": [[-6.2647, 2.1116, -1.2308], [4.1989, -1.5994, -5.0031], [0.8035, -6.1004, 2.7128]], "species": ["Se", "Se", "Hf", "Hf", "Hf", "Hf", "Hf", "Hf", "Ti", "Ti"], "fractional_positions": [[0.0456, 0.5336, 0.0120], [0.5216, 0.0336, 0.9880], [0.0277, 0.8034, 0.2717], [0.5317, 0.3034, 0.2757], [0.9736, 0.7704, 0.7032], [0.0672, 0.2704, 0.2968], [0.5317, 0.7560, 0.7283], [0.0277, 0.2560, 0.7243], [0.5074, 0.2949, 0.7126], [0.5823, 0.7949, 0.2874]], "n_ef_per_ev_cell": 7.54, "sg": "Ima2", "raw_formation_energy_ev_per_atom": -0.24, "rho_g_cm3": 10.2, "relative_energy_mev_per_atom": 0, "dft_energy_ev_per_atom": -8.487}

***

# 9
{"formula": "TcRu2W2", "functional": "GGA-PBE", "state": "relaxed", "cell": [[-3.9583, -0.1500, 0.3784], [-0.1241, -3.0787, -2.5179], [-1.5094, -5.0663, 3.1248]], "species": ["Ru", "Ru", "Tc", "W", "W"], "fractional_positions": [[0.6076, 0.6076, 0.7849], [0.3924, 0.3924, 0.2151], [0.0000, 0.0000, 0.0000], [0.2500, 0.7500, 0.5000], [0.7500, 0.2500, 0.5000]], "formation_enthalpy_0k_ev_per_atom": 0.775, "n_ef_per_ev_cell": 4.07, "sg": "I4/mmm", "rho_g_cm3": 12.8, "dft_energy_ev_per_atom": -10.190}

***

# 10
{"formula": "NaMg2TlBr6", "functional": "GGA-PBE", "state": "relaxed", "cell": [[-2.6110, -3.4520, -5.9850], [5.1147, -8.4736, 1.1662], [-7.7876, -4.3678, 4.4269]], "species": ["Br", "Br", "Br", "Br", "Br", "Br", "Br", "Br", "Br", "Br", "Br", "Br", "Mg", "Mg", "Mg", "Mg", "Na", "Na", "Tl", "Tl"], "fractional_positions": [[0.6077, 0.1571, 0.6046], [0.1077, 0.6046, 0.1571], [0.3923, 0.8429, 0.3954], [0.4050, 0.5752, 0.7136], [0.6726, 0.7724, 0.9770], [0.8923, 0.3954, 0.8429], [0.5950, 0.4248, 0.2864], [0.9050, 0.7136, 0.5752], [0.1726, 0.9770, 0.7724], [0.0950, 0.2864, 0.4248], [0.8274, 0.0230, 0.2276], [0.3274, 0.2276, 0.0230], [0.7786, 0.2177, 0.3868], [0.2786, 0.3868, 0.2177], [0.7214, 0.6132, 0.7823], [0.2214, 0.7823, 0.6132], [0.7500, 0.7216, 0.2784], [0.2500, 0.2784, 0.7216], [0.7500, 0.0991, 0.9009], [0.2500, 0.9009, 0.0991]], "n_ef_per_ev_cell": 0.00, "sg": "C2/c", "raw_formation_energy_ev_per_atom": -1.33, "rho_g_cm3": 3.5, "dft_energy_ev_per_atom": -3.019}

***

# 11
{"formula": "Hf13Sn2", "functional": "GGA-PBE", "state": "relaxed", "cell": [[7.8052, 0.0000, 0.0000], [3.9026, 6.7595, 0.0000], [3.9026, 2.2532, 7.6032]], "species": ["Sn", "Sn", "Hf", "Hf", "Hf", "Hf", "Hf", "Hf", "Hf", "Hf", "Hf", "Hf", "Hf", "Hf", "Hf"], "fractional_positions": [[0.6349, 0.6349, 0.0952], [0.3651, 0.3651, 0.9048], [0.2570, 0.8800, 0.6061], [0.3881, 0.0016, 0.2223], [0.8800, 0.2570, 0.6061], [0.2570, 0.2570, 0.6061], [0.7430, 0.7430, 0.3939], [0.3881, 0.3881, 0.2223], [0.6119, 0.9984, 0.7777], [0.6119, 0.6119, 0.7777], [0.5000, 0.5000, 0.5000], [0.9984, 0.6119, 0.7777], [0.1200, 0.7430, 0.3939], [0.0016, 0.3881, 0.2223], [0.7430, 0.1200, 0.3939]], "formation_enthalpy_0k_ev_per_atom": 0.509, "n_ef_per_ev_cell": 20.74, "sg": "R-3m", "rho_g_cm3": 10.6, "dft_energy_ev_per_atom": -8.651}

***

# 12
{"formula": "MgTl3Ga", "functional": "GGA-PBE", "state": "relaxed", "cell": [[-3.1599, 1.8719, 4.0914], [-4.1399, -3.1676, -1.7481], [1.7620, -4.0855, 3.2300]], "species": ["Ga", "Tl", "Tl", "Tl", "Mg"], "fractional_positions": [[0.0000, 0.0000, 0.0000], [0.0000, 0.5000, 0.0000], [0.0000, 0.0000, 0.5000], [0.5000, 0.0000, 0.0000], [0.5000, 0.5000, 0.5000]], "formation_enthalpy_0k_ev_per_atom": 0.287, "n_ef_per_ev_cell": 2.22, "sg": "Pm-3m", "rho_g_cm3": 7.1, "relative_energy_mev_per_atom": 0, "dft_energy_ev_per_atom": -2.057}

***

# 13
{"formula": "Tb6YEr2Th", "functional": "GGA-PBE", "state": "relaxed", "cell": [[-8.2801, -2.7678, 3.5273], [4.5640, -5.2805, 5.3127], [-1.0762, 8.2733, 2.7079]], "species": ["Er", "Er", "Er", "Er", "Tb", "Tb", "Tb", "Tb", "Tb", "Tb", "Tb", "Tb", "Tb", "Tb", "Tb", "Tb", "Y", "Y", "Th", "Th"], "fractional_positions": [[0.5525, 0.2018, 0.3011], [0.0525, 0.3011, 0.2018], [0.4475, 0.7982, 0.6989], [0.9475, 0.6989, 0.7982], [0.8852, 0.2917, 0.5181], [0.8169, 0.4315, 0.9860], [0.6831, 0.0140, 0.5685], [0.9411, 0.8845, 0.2359], [0.6148, 0.4819, 0.7083], [0.3852, 0.5181, 0.2917], [0.5589, 0.7641, 0.1155], [0.0589, 0.1155, 0.7641], [0.3169, 0.9860, 0.4315], [0.1148, 0.7083, 0.4819], [0.4411, 0.2359, 0.8845], [0.1831, 0.5685, 0.0140], [0.7500, 0.5907, 0.4093], [0.2500, 0.4093, 0.5907], [0.7500, 0.0337, 0.9663], [0.2500, 0.9663, 0.0337]], "formation_enthalpy_0k_ev_per_atom": 0.147, "n_ef_per_ev_cell": 29.49, "sg": "C2/c", "rho_g_cm3": 8.3, "dft_energy_ev_per_atom": -4.932}

***

# 14
{"formula": "FeMoRh", "functional": "GGA-PBE", "state": "relaxed", "cell": [[4.2439, 0.0000, 0.0000], [-2.1220, 3.6753, 0.0000], [0.0000, 0.0000, 2.6610]], "species": ["Mo", "Rh", "Fe"], "fractional_positions": [[0.6667, 0.3333, 0.1677], [0.3333, 0.6667, 0.6668], [0.0000, 0.0000, 0.1655]], "formation_enthalpy_0k_ev_per_atom": 0.051, "n_ef_per_ev_cell": 2.15, "sg": "P3m1", "rho_g_cm3": 10.2, "relative_energy_mev_per_atom": 71, "dft_energy_ev_per_atom": -8.831}

***

# 15
{"formula": "KLiMnCl4", "functional": "GGA-PBE", "state": "relaxed", "cell": [[-3.3923, -4.3580, 3.0025], [6.8396, -3.4438, 2.7291], [0.6561, 5.9050, 5.8071]], "species": ["Li", "Li", "Cl", "Cl", "Cl", "Cl", "Cl", "Cl", "Cl", "Cl", "K", "K", "Mn", "Mn"], "fractional_positions": [[0.2849, 0.2500, 0.6806], [0.7151, 0.7500, 0.3194], [0.9602, 0.5365, 0.2634], [0.4813, 0.2500, 0.4645], [0.0398, 0.0365, 0.7366], [0.0398, 0.4635, 0.7366], [0.4066, 0.7500, 0.0931], [0.5934, 0.2500, 0.9069], [0.9602, 0.9635, 0.2634], [0.5187, 0.7500, 0.5355], [0.1959, 0.2500, 0.1014], [0.8041, 0.7500, 0.8986], [0.2207, 0.7500, 0.3162], [0.7793, 0.2500, 0.6838]], "n_ef_per_ev_cell": 0.00, "sg": "P2_1/m", "raw_formation_energy_ev_per_atom": -1.53, "rho_g_cm3": 1.9, "dft_energy_ev_per_atom": -4.321}

***

# 16
{"formula": "LiSbPt2", "functional": "GGA-PBE", "state": "relaxed", "cell": [[-2.2010, 2.0876, -2.6403], [-2.1646, -3.2937, -0.7998], [-7.8545, 1.5609, 4.7189]], "species": ["Pt", "Pt", "Pt", "Pt", "Li", "Li", "Sb", "Sb"], "fractional_positions": [[0.1370, 0.6250, 0.2500], [0.3750, 0.3870, 0.7500], [0.8750, 0.8630, 0.7500], [0.6130, 0.1250, 0.2500], [0.2500, 0.7500, 0.5000], [0.5000, 0.5000, 0.0000], [0.7500, 0.2500, 0.5000], [0.0000, 0.0000, 0.0000]], "n_ef_per_ev_cell": 4.66, "sg": "I-42d", "raw_formation_energy_ev_per_atom": -0.27, "rho_g_cm3": 12.0, "dft_energy_ev_per_atom": -4.804}

***

# 17
{"formula": "LaGa2TePt", "functional": "GGA-PBE", "state": "relaxed", "cell": [[4.8149, 0.0000, 0.0000], [0.0000, 4.8149, 0.0000], [0.0000, 0.0000, 5.8532]], "species": ["Pt", "Ga", "Ga", "Te", "La"], "fractional_positions": [[0.0000, 0.0000, 0.0000], [0.5000, 0.0000, 0.0000], [0.0000, 0.5000, 0.0000], [0.5000, 0.5000, 0.5000], [0.0000, 0.0000, 0.5000]], "n_ef_per_ev_cell": 1.28, "sg": "P4/mmm", "raw_formation_energy_ev_per_atom": -0.85, "rho_g_cm3": 7.4, "dft_energy_ev_per_atom": -4.883}

***

# 18
{"formula": "Rb5Cd2S5", "functional": "GGA-PBE", "state": "relaxed", "cell": [[4.2097, 0.0000, 0.0000], [-2.1049, 7.7476, 0.2916], [0.0000, -3.2603, 11.5352]], "species": ["S", "S", "S", "S", "S", "Rb", "Rb", "Rb", "Rb", "Rb", "Cd", "Cd"], "fractional_positions": [[0.1079, 0.2157, 0.3580], [0.3627, 0.7254, 0.2092], [0.0000, 0.0000, 0.0000], [0.6373, 0.2746, 0.7908], [0.8921, 0.7843, 0.6420], [0.6582, 0.3163, 0.0800], [0.2242, 0.4485, 0.6302], [0.7758, 0.5515, 0.3698], [0.5000, 0.0000, 0.5000], [0.3418, 0.6837, 0.9200], [0.0369, 0.0739, 0.7977], [0.9631, 0.9261, 0.2023]], "n_ef_per_ev_cell": 5.44, "sg": "C2/m", "raw_formation_energy_ev_per_atom": -0.84, "rho_g_cm3": 3.5, "dft_energy_ev_per_atom": -3.116}

***

# 19
{"formula": "SmHo2P", "functional": "GGA-PBE", "state": "relaxed", "cell": [[-1.6780, 3.3134, 0.3368], [-2.0876, 1.3253, -2.7917], [-9.4442, -3.0038, 3.1454]], "species": ["Sm", "Ho", "Ho", "P"], "fractional_positions": [[0.0000, 0.0000, 0.0000], [0.1137, 0.1137, 0.6589], [0.8863, 0.8863, 0.3411], [0.5000, 0.5000, 0.5000]], "formation_enthalpy_0k_ev_per_atom": -0.522, "n_ef_per_ev_cell": 4.22, "sg": "R-3m", "rho_g_cm3": 6.9, "dft_energy_ev_per_atom": -5.344}

***

# 20
{"formula": "MgTlN3", "functional": "GGA-PBE", "state": "relaxed", "cell": [[4.2932, 0.0000, 0.0000], [0.0000, 4.2932, 0.0000], [0.0000, 0.0000, 4.2932]], "species": ["Tl", "Mg", "N", "N", "N"], "fractional_positions": [[0.0000, 0.0000, 0.0000], [0.5000, 0.5000, 0.5000], [0.0000, 0.5000, 0.0000], [0.5000, 0.0000, 0.0000], [0.0000, 0.0000, 0.5000]], "n_ef_per_ev_cell": 3.53, "sg": "Pm-3m", "raw_formation_energy_ev_per_atom": 2.05, "rho_g_cm3": 5.7, "dft_energy_ev_per_atom": -3.736}